No. 1
Below is a relaxed structure of Pm3Ge5Rh6, with properties calculated at the GGA-PBE level.

abc: 4.1062 9.8899 12.7609
angles: 90.00 90.00 90.00
With the nearest neighbours (Å) after each atom.
Fractional positions:
Pm (0.0000, 0.2527, 0.6620)  7 Rh 3.07-3.37, 6 Ge 3.13-3.18
Pm (0.5000, 0.7473, 0.1620)  7 Rh 3.07-3.37, 6 Ge 3.13-3.18
Pm (0.5000, 0.7473, 0.8380)  7 Rh 3.07-3.37, 6 Ge 3.13-3.18
Pm (0.0000, 0.2539, 0.0000)  6 Ge 3.00-3.18, 6 Rh 3.12-3.26
Pm (0.5000, 0.7461, 0.5000)  6 Ge 3.00-3.18, 6 Rh 3.12-3.26
Pm (0.0000, 0.2527, 0.3380)  7 Rh 3.07-3.37, 6 Ge 3.13-3.18
Ge (0.0000, 0.5140, 0.8792)  5 Rh 2.43-2.57
Ge (0.0000, 0.8521, 0.6712)  5 Rh 2.49-2.55
Ge (0.0000, 0.8765, 0.0000)  4 Rh 2.47-2.50
Ge (0.5000, 0.4860, 0.6208)  5 Rh 2.43-2.57
Ge (0.5000, 0.1235, 0.5000)  4 Rh 2.47-2.50
Ge (0.0000, 0.5140, 0.1208)  5 Rh 2.43-2.57
Ge (0.5000, 0.4860, 0.3792)  5 Rh 2.43-2.57
Ge (0.0000, 0.8521, 0.3288)  5 Rh 2.49-2.55
Ge (0.5000, 0.1479, 0.8288)  5 Rh 2.49-2.55
Ge (0.5000, 0.1479, 0.1712)  5 Rh 2.49-2.55
Rh (0.0000, 0.0056, 0.8319)  4 Ge 2.49-2.55
Rh (0.5000, 0.9944, 0.6681)  4 Ge 2.49-2.55
Rh (0.5000, 0.4008, 0.7998)  4 Ge 2.43-2.55
Rh (0.5000, 0.5092, 0.0000)  4 Ge 2.57, 2 Rh 2.77
Rh (0.0000, 0.4908, 0.5000)  4 Ge 2.57, 2 Rh 2.77
Rh (0.0000, 0.5992, 0.7002)  4 Ge 2.43-2.55
Rh (0.0000, 0.5992, 0.2998)  4 Ge 2.43-2.55
Rh (0.5000, 0.0160, 0.0000)  4 Ge 2.47-2.55
Rh (0.0000, 0.0056, 0.1681)  4 Ge 2.49-2.55
Rh (0.5000, 0.4008, 0.2002)  4 Ge 2.43-2.55
Rh (0.0000, 0.9840, 0.5000)  4 Ge 2.47-2.55
Rh (0.5000, 0.9944, 0.3319)  4 Ge 2.49-2.55

## Properties
For the formation energy, the calculation gives -0.88 eV per atom. For the density of states at the Fermi level, the calculation gives 0.40 states/eV per atom. Its spin magnetization is 0.00 μB/f.u.

=====

No. 2
Below is a relaxed structure of Pm5Ge2Rh2, with properties calculated at the GGA-PBE level.

abc: 7.8398 7.7428 8.5042
angles: 117.08 90.00 90.00
With the nearest neighbours (Å) after each atom.
Fractional positions:
Pm (0.0000, 0.0000, 0.0000)  4 Rh 3.07-3.09, 2 Ge 3.09
Pm (0.5000, 0.5000, 0.0000)  4 Rh 3.07-3.09, 2 Ge 3.09
Pm (0.8328, 0.8050, 0.2704)  3 Ge 3.06-3.10, 3 Rh 3.06-3.09
Pm (0.1672, 0.4654, 0.2704)  3 Ge 3.06-3.10, 3 Rh 3.06-3.09
Pm (0.3328, 0.9654, 0.2704)  3 Ge 3.06-3.10, 3 Rh 3.06-3.09
Pm (0.6672, 0.3050, 0.2704)  3 Ge 3.06-3.10, 3 Rh 3.06-3.09
Pm (0.1672, 0.1950, 0.7296)  3 Ge 3.06-3.10, 3 Rh 3.06-3.09
Pm (0.8328, 0.5346, 0.7296)  3 Ge 3.06-3.10, 3 Rh 3.06-3.09
Pm (0.6672, 0.0346, 0.7296)  3 Ge 3.06-3.10, 3 Rh 3.06-3.09
Pm (0.3328, 0.6950, 0.7296)  3 Ge 3.06-3.10, 3 Rh 3.06-3.09
Ge (0.0000, 0.2041, 0.4081)  7 Pm 3.06-3.10
Ge (0.5000, 0.7041, 0.4081)  7 Pm 3.06-3.10
Ge (0.0000, 0.7959, 0.5919)  7 Pm 3.06-3.10
Ge (0.5000, 0.2959, 0.5919)  7 Pm 3.06-3.10
Rh (0.6250, 0.8755, 0.0000)  1 Rh 2.75, 3 Pm 3.06-3.07
Rh (0.3750, 0.1245, 0.0000)  1 Rh 2.75, 3 Pm 3.06-3.07
Rh (0.1250, 0.6245, 0.0000)  1 Rh 2.75, 3 Pm 3.06-3.07
Rh (0.8750, 0.3755, 0.0000)  1 Rh 2.75, 3 Pm 3.06-3.07

## Properties
For the formation energy, the calculation gives -0.67 eV per atom. For the density of states at the Fermi level, the calculation gives 0.74 states/eV per atom. Its spin magnetization is 0.00 μB/f.u.

=====

No. 3
Below is a relaxed structure of Pm2Ge3Rh2, with properties calculated at the GGA-PBE level.

abc: 4.2050 7.1472 9.4185
angles: 90.00 102.90 90.00
With the nearest neighbours (Å) after each atom.
Fractional positions:
Pm (0.1591, 0.2500, 0.3181)  6 Ge 3.03-3.04, 6 Rh 3.06-3.07
Pm (0.8409, 0.7500, 0.6819)  6 Ge 3.03-3.04, 6 Rh 3.06-3.07
Pm (0.9433, 0.2500, 0.8866)  9 Ge 3.04-3.31
Pm (0.0567, 0.7500, 0.1134)  9 Ge 3.04-3.31
Ge (0.2221, 0.7500, 0.4443)  6 Rh 2.60-2.64
Ge (0.7779, 0.2500, 0.5557)  6 Rh 2.60-2.64
Ge (0.5631, 0.4331, 0.1263)  2 Ge 2.51-2.62, 1 Rh 2.54
Ge (0.4369, 0.5669, 0.8737)  2 Ge 2.51-2.62, 1 Rh 2.54
Ge (0.4369, 0.9331, 0.8737)  2 Ge 2.51-2.62, 1 Rh 2.54
Ge (0.5631, 0.0669, 0.1263)  2 Ge 2.51-2.62, 1 Rh 2.54
Rh (0.6939, 0.9505, 0.3879)  4 Ge 2.54-2.64
Rh (0.3061, 0.0495, 0.6121)  4 Ge 2.54-2.64
Rh (0.3061, 0.4505, 0.6121)  4 Ge 2.54-2.64
Rh (0.6939, 0.5495, 0.3879)  4 Ge 2.54-2.64

## Properties
The value obtained for the energy above the most stable polymorph in this dataset is 0.00 kcal/mol of atoms. For the formation energy, the calculation gives -0.85 eV per atom. For the density of states at the Fermi level, the calculation gives 0.51 states/eV per atom. Its spin magnetization is 0.00 μB/f.u.

=====

No. 4
Below is a relaxed structure of Pm4Ge2Rh, with properties calculated at the GGA-PBE level.

abc: 5.1280 5.1280 8.8092
angles: 106.92 106.92 90.00
With the nearest neighbours (Å) after each atom.
Fractional positions:
Ge (0.6322, 0.6322, 0.2644)  1 Pm 2.93
Ge (0.3678, 0.3678, 0.7356)  1 Pm 2.93
Rh (0.0000, 0.0000, 0.0000)  4 Pm 2.56
Pm (0.8145, 0.8145, 0.6291)  1 Ge 2.93, 1 Rh 2.98
Pm (0.1855, 0.1855, 0.3709)  1 Ge 2.93, 1 Rh 2.98
Pm (0.0000, 0.5000, 0.0000)  2 Rh 2.56
Pm (0.5000, 0.0000, 0.0000)  2 Rh 2.56

## Properties
The value obtained for the energy above the most stable polymorph in this dataset is 4.84 kcal/mol of atoms. For the formation energy, the calculation gives -0.38 eV per atom. For the density of states at the Fermi level, the calculation gives 0.56 states/eV per atom. Its spin magnetization is 0.00 μB/f.u.